Density functional theory data (PBE-GGA) for a relaxed structure of KAcSe2O8.

Geometry as extended XYZ:
```
12
Lattice="-3.8567 3.8567 3.4050 3.8567 -3.8567 3.4050 3.8567 3.8567 -3.4050" Properties=species:S:1:pos:R:3 pbc="T T T"
K 0.0000 0.0000 0.0000
Ac 0.0000 3.8567 1.7025
Se 3.8567 0.0000 1.7025
Se 0.0000 0.0000 3.4050
O 2.5565 0.0000 0.6461
O 5.1569 0.0000 0.6461
O 3.8567 2.4986 -0.9813
O 3.8567 -1.3002 2.7589
O 0.0000 1.3580 2.4237
O 3.8567 1.3002 2.7589
O 2.4986 3.8567 0.9813
O 1.3580 0.0000 4.3863
```

Computed properties:
**Crystal system**: tetragonal
**Formation energy without anion corrections**: -18.65 eV per formula unit
**Fermi-level density of states**: 0.00 states/eV per atom
**Symmetry**: No. 119
**E_tot**: -0.2159 Ha/atom